Material: Mn2TlTeO8
Method: DFT, GGA+U
State: optimized geometry

abc: 4.7377 6.3921 4.7456
angles: 90.00 91.00 90.00
Space group P2/m (No. 10)
Asymmetric unit:
Mn1 0.0000 0.2484 0.0000 (multiplicity 2)
Tl1 0.5000 0.5000 0.5000 (multiplicity 1)
Te1 0.5000 0.0000 0.5000 (multiplicity 1)
O1 0.1719 0.5000 0.1690 (multiplicity 2)
O2 0.1994 0.0000 0.1970 (multiplicity 2)
O3 0.3006 0.2220 0.6969 (multiplicity 4)

Computed properties:
- Total moment: 7.0 μB/f.u.
- Crystal system: monoclinic
- Theoretical density: 6.6 g/cm³
- Raw total energy: -6.057 eV per atom